The following is a DFT calculation (PBE) of Eu2GdAu after structural relaxation.

## Properties
total energy = -39.234 eV/cell
energy of formation from the pure elements = -332 meV per atom

a = 3.742 Å, b = 3.742 Å, c = 9.094 Å
α = 90.00°, β = 90.00°, γ = 90.00°
Last column: magnetic moment on the atom in μB.
Positions (direct):
1 Au 0.500 0.500 0.000  -0.01
2 Gd 0.500 0.500 0.500  7.26
3 Eu 0.000 0.000 0.198  -6.85
4 Eu 0.000 0.000 0.802  -6.85

---

The following is a DFT calculation (PBE) of EuGdAu2 after structural relaxation.

## Properties
total energy = -34.078 eV/cell
energy of formation from the pure elements = -792 meV per atom
distance to the lowest polymorph of the same formula = 0 meV per atom

a = 3.661 Å, b = 5.218 Å, c = 5.218 Å
α = 90.00°, β = 90.00°, γ = 90.00°
Last column: magnetic moment on the atom in μB.
Positions (direct):
1 Au 0.000 0.500 0.000  -0.01
2 Au 0.000 0.000 0.500  -0.01
3 Gd 0.500 0.000 0.000  -7.02
4 Eu 0.500 0.500 0.500  -6.82

---

The following is a DFT calculation (PBE) of EuGdAu after structural relaxation.

## Properties
total energy = -29.189 eV/cell
energy of formation from the pure elements = -519 meV per atom
distance to the lowest polymorph of the same formula = 0 meV per atom

a = 3.718 Å, b = 3.718 Å, c = 6.926 Å
α = 105.57°, β = 105.57°, γ = 90.00°
Last column: magnetic moment on the atom in μB.
Positions (direct):
1 Au 0.678 0.678 0.356  0.00
2 Eu 0.023 0.023 0.047  6.89
3 Gd 0.299 0.299 0.598  7.14